Entry 1:
Na4BeTe2: relaxed, PBE.

The space group is I4/mmm (No. 139) and the conventional cell measures 5.101, 5.101 and 16.353 Å, with angles of 90.00, 90.00 and 90.00 degrees. The inequivalent atoms are Na at (0.000, 0.000, 0.186), Na at (0.000, 0.500, 0.000), Be at (0.000, 0.000, 0.000) and Te at (0.000, 0.000, 0.373).

As for the crystal system: tetragonal. The size of the total moment is 0.0000 μB/atom. The value obtained for the raw formation energy is -0.122 eV/atom.

***

Entry 2:
PrEuBi2: relaxed, PBE.

The space group is R-3m (No. 166, hexagonal axes) and the conventional cell measures 4.6344, 4.6344 and 23.1718 Å, with angles of 90.00, 90.00 and 120.00 degrees. The inequivalent atoms are Pr at (0.0000, 0.0000, 0.0000), Eu at (0.0000, 0.0000, 0.5000) and Bi at (0.0000, 0.0000, 0.2510).

As for the crystal system: trigonal. For the formation energy, the calculation gives -835 meV per atom. The size of the total moment is 1.6729 μB/atom. As for the energy above the most stable polymorph in this dataset: 0 meV/atom.

***

Number 1: electronic total energy -32.28 eV/cell. Number 2: electronic total energy -78.47 eV/cell.